AgMoAsO6: optimized geometry, GGA+U.

## Properties
* raw total energy: -6.0786 eV/atom
* excess energy over the best structure of this formula in the dataset: 0 meV/atom

```
36
Lattice="6.647 0.000 0.000 0.000 7.964 0.000 0.000 0.000 10.161" Properties=species:S:1:pos:R:3 pbc="T T T"
Ag 3.460 7.044 4.953
Ag 6.510 0.920 10.033
Ag 0.137 4.902 5.208
Ag 3.187 3.062 0.127
Mo 1.736 6.307 8.247
Mo 1.587 1.657 3.166
Mo 5.060 5.639 1.914
Mo 4.911 2.325 6.994
As 1.630 1.573 6.704
As 1.694 6.391 1.624
As 4.953 2.409 3.457
As 5.017 5.556 8.537
O 3.691 6.667 8.359
O 6.279 1.297 3.278
O 0.368 5.279 1.802
O 2.956 2.685 6.882
O 3.053 5.336 1.745
O 0.271 2.629 6.825
O 6.376 6.611 8.416
O 3.595 1.353 3.336
O 1.692 5.974 6.504
O 1.631 1.990 1.424
O 5.016 5.972 3.656
O 4.955 1.992 8.737
O 1.795 4.722 8.962
O 1.528 3.243 3.882
O 5.119 7.225 1.199
O 4.852 0.740 6.279
O 1.632 0.503 8.035
O 1.692 7.461 2.955
O 4.955 3.479 2.126
O 5.016 4.485 7.206
O 1.699 0.754 5.207
O 1.625 7.210 0.127
O 5.022 3.228 4.953
O 4.948 4.736 10.034
```